Entry from Alexandria: a relaxed LiAlRu3 crystal (PBE).

Structure (POSCAR):
```
LiAlRu3
1.0
4.4831 0.0000 0.0000
0.0000 4.4831 0.0000
0.0000 0.0000 4.4831
Li Al Ru
1 1 3
Direct
0.0000 0.0000 0.0000
0.5000 0.5000 0.5000
0.0000 0.5000 0.5000
0.5000 0.0000 0.5000
0.5000 0.5000 0.0000
```

Values from the calculation:
M_tot   2.163 μB per cell
E_form   1.116 eV/atom
Excess energy over the best structure of this formula in the dataset   0.296 eV per atom
Symmetry   Pm-3m, No. 221

Entry from Alexandria: a relaxed Li2AlRu crystal (PBE).

Structure (POSCAR):
```
Li2AlRu
1.0
2.5929 0.0000 0.0000
0.0000 4.4122 0.0000
0.0000 0.0000 5.0255
Li Al Ru
2 1 1
Direct
0.0000 0.0000 0.2327
0.0000 0.0000 0.7673
0.5000 0.5000 0.5000
0.5000 0.5000 0.0000
```

Values from the calculation:
M_tot   0.001 μB per cell
E_form   -0.008 eV/atom
Symmetry   Pmmm, No. 47

Entry from Alexandria: a relaxed LiAl2RuSe crystal (PBE).

Structure (POSCAR):
```
LiAl2RuSe
1.0
4.4956 0.0000 0.0000
0.0000 4.4956 0.0000
0.0000 0.0000 4.1639
Li Al Ru Se
1 2 1 1
Direct
0.0000 0.0000 0.0000
0.0000 0.5000 0.0000
0.5000 0.0000 0.0000
0.5000 0.5000 0.5000
0.0000 0.0000 0.5000
```

Values from the calculation:
M_tot   0.613 μB per cell
Electronic total energy   -18.255 eV/cell
Symmetry   P4/mmm, No. 123

Entry from Alexandria: a relaxed LiSmAlRu crystal (PBE).

Structure (POSCAR):
```
LiSmAlRu
1.0
0.0000 3.3034 3.3034
3.3034 0.0000 3.3034
3.3034 3.3034 0.0000
Li Sm Al Ru
1 1 1 1
Direct
0.0000 0.0000 0.0000
0.2500 0.2500 0.2500
0.7500 0.7500 0.7500
0.5000 0.5000 0.5000
```

Values from the calculation:
M_tot   0.000 μB per cell
E_form   -0.256 eV/atom
Symmetry   F-43m, No. 216

Entry from Alexandria: a relaxed LiAlSnRu crystal (PBE).

Structure (POSCAR):
```
LiAlSnRu
1.0
0.0000 3.1438 3.1438
3.1438 0.0000 3.1438
3.1438 3.1438 0.0000
Li Al Sn Ru
1 1 1 1
Direct
0.0000 0.0000 0.0000
0.2500 0.2500 0.2500
0.7500 0.7500 0.7500
0.5000 0.5000 0.5000
```

Values from the calculation:
M_tot   0.000 μB per cell
E_form   -0.314 eV/atom
Symmetry   F-43m, No. 216

Entry from Alexandria: a relaxed SrLiAl2Ru crystal (PBE).

Structure (POSCAR):
```
SrLiAl2Ru
1.0
4.7498 0.0000 0.0000
0.0000 4.7498 0.0000
0.0000 0.0000 4.9888
Sr Li Al Ru
1 1 2 1
Direct
0.0000 0.0000 0.0000
0.5000 0.5000 0.0000
0.0000 0.5000 0.5000
0.5000 0.0000 0.5000
0.5000 0.5000 0.5000
```

Values from the calculation:
M_tot   0.000 μB per cell
E_form   -0.229 eV/atom
Symmetry   P4/mmm, No. 123

Entry from Alexandria: a relaxed LiAlTcRu crystal (PBE).

Structure (POSCAR):
```
LiAlTcRu
1.0
0.0000 3.0041 3.0041
3.0041 0.0000 3.0041
3.0041 3.0041 0.0000
Li Al Tc Ru
1 1 1 1
Direct
0.0000 0.0000 0.0000
0.2500 0.2500 0.2500
0.5000 0.5000 0.5000
0.7500 0.7500 0.7500
```

Values from the calculation:
M_tot   0.000 μB per cell
E_form   -0.209 eV/atom
Symmetry   F-43m, No. 216

Entry from Alexandria: a relaxed LiThAlRu crystal (PBE).

Structure (POSCAR):
```
LiThAlRu
1.0
0.0000 3.3409 3.3409
3.3409 0.0000 3.3409
3.3409 3.3409 0.0000
Li Th Al Ru
1 1 1 1
Direct
0.0000 0.0000 0.0000
0.2500 0.2500 0.2500
0.7500 0.7500 0.7500
0.5000 0.5000 0.5000
```

Values from the calculation:
M_tot   0.000 μB per cell
E_form   -0.320 eV/atom
Symmetry   F-43m, No. 216

Entry from Alexandria: a relaxed LiTmAlRu crystal (PBE).

Structure (POSCAR):
```
LiTmAlRu
1.0
0.0000 3.2352 3.2352
3.2352 0.0000 3.2352
3.2352 3.2352 0.0000
Li Tm Al Ru
1 1 1 1
Direct
0.0000 0.0000 0.0000
0.7500 0.7500 0.7500
0.2500 0.2500 0.2500
0.5000 0.5000 0.5000
```

Values from the calculation:
M_tot   0.000 μB per cell
E_form   -0.375 eV/atom
Symmetry   F-43m, No. 216

Entry from Alexandria: a relaxed LiAlRuW crystal (PBE).

Structure (POSCAR):
```
LiAlRuW
1.0
0.0000 3.0283 3.0283
3.0283 0.0000 3.0283
3.0283 3.0283 0.0000
Li Al Ru W
1 1 1 1
Direct
0.0000 0.0000 0.0000
0.7500 0.7500 0.7500
0.5000 0.5000 0.5000
0.2500 0.2500 0.2500
```

Values from the calculation:
M_tot   0.000 μB per cell
E_form   -0.262 eV/atom
Symmetry   F-43m, No. 216

Entry from Alexandria: a relaxed LiZrAlRu crystal (PBE).

Structure (POSCAR):
```
LiZrAlRu
1.0
0.0000 3.1628 3.1628
3.1628 0.0000 3.1628
3.1628 3.1628 0.0000
Li Zr Al Ru
1 1 1 1
Direct
0.0000 0.0000 0.0000
0.7500 0.7500 0.7500
0.2500 0.2500 0.2500
0.5000 0.5000 0.5000
```

Values from the calculation:
M_tot   0.000 μB per cell
E_form   -0.430 eV/atom
Symmetry   F-43m, No. 216

Entry from Alexandria: a relaxed LiAlS2 crystal (PBE).

Structure (POSCAR):
```
LiAlS2
1.0
4.6177 -5.5762 0.0000
4.6177 5.5762 0.0000
-0.4419 0.0000 12.2537
Li Al S
8 8 16
Direct
0.0838 0.8691 0.6108
0.1309 0.9162 0.8892
0.2340 0.4508 0.8786
0.4508 0.2340 0.3786
0.5492 0.7660 0.6214
0.7660 0.5492 0.1214
0.8691 0.0838 0.1108
0.9162 0.1309 0.3892
0.0322 0.7031 0.3601
0.2388 0.4651 0.1487
0.2969 0.9678 0.1399
0.4651 0.2388 0.6487
0.5349 0.7612 0.3513
0.7031 0.0322 0.8601
0.7612 0.5349 0.8513
0.9678 0.2969 0.6399
0.0164 0.5674 0.7425
0.0523 0.9477 0.2500
0.2048 0.2235 0.5365
0.2235 0.2048 0.0365
0.2590 0.7050 0.0308
0.2950 0.7410 0.4692
0.4326 0.9836 0.7575
0.4937 0.5063 0.7500
0.5063 0.4937 0.2500
0.5674 0.0164 0.2425
0.7050 0.2590 0.5308
0.7410 0.2950 0.9692
0.7765 0.7952 0.9635
0.7952 0.7765 0.4635
0.9477 0.0523 0.7500
0.9836 0.4326 0.2575
```

Values from the calculation:
M_tot   0.000 μB per cell
Electronic total energy   -149.558 eV/cell
Symmetry   C2/c, No. 15

Entry from Alexandria: a relaxed LiAl2S4 crystal (PBE).

Structure (POSCAR):
```
LiAl2S4
1.0
4.9985 0.0000 0.0000
0.0000 4.9985 0.0000
0.0000 0.0000 6.2400
Li Al S
1 2 4
Direct
0.0000 0.0000 0.0000
0.0000 0.5000 0.5000
0.5000 0.0000 0.5000
0.2571 0.2571 0.2725
0.2571 0.7429 0.7275
0.7429 0.2571 0.7275
0.7429 0.7429 0.2725
```

Values from the calculation:
M_tot   0.007 μB per cell
Electronic total energy   -32.672 eV/cell
Symmetry   P-42m, No. 111

Entry from Alexandria: a relaxed LiAlS2 crystal (PBE).

Structure (POSCAR):
```
LiAlS2
1.0
3.7096 0.0000 0.0000
0.0000 3.7096 0.0000
0.0000 0.0000 5.7881
Li Al S
1 1 2
Direct
0.0000 0.0000 0.0000
0.5000 0.5000 0.5000
0.0000 0.5000 0.7310
0.5000 0.0000 0.2690
```

Values from the calculation:
M_tot   0.000 μB per cell
Electronic total energy   -18.945 eV/cell
Symmetry   P-4m2, No. 115